Record 1
Ta5Ti2Tc after structural relaxation, computed with PBE.

## Properties
Total moment ... 0.000 μB/atom
Formation energy ... -0.10 eV per atom

Cell and atoms, written as extended XYZ:
```
16
Lattice="-1.3796 1.5959 -2.4370 -5.6993 0.2641 3.3993 3.6791 11.2637 5.2933" Properties=species:S:1:pos:R:3 pbc="T T T"
Ta 0.0000 0.0000 0.0000
Ta -1.0101 5.7639 4.3463
Ta -0.0640 8.4911 5.5966
Ta -1.9562 3.0366 3.0960
Ta 0.8371 2.7323 1.3153
Ta -2.8574 8.7955 7.3773
Ta 1.0782 10.7516 4.2988
Ta -4.4780 2.3720 1.9568
Ta -0.6888 5.1165 1.6089
Ta -2.7110 8.0072 4.6467
Ti 0.3024 7.8127 2.8134
Ti -3.7023 5.3109 3.4422
Ti -1.8274 2.1944 0.3400
Ti -1.5724 10.9293 5.9156
Tc 1.8396 5.6318 2.6466
Tc -2.8497 0.1321 1.6997
```

Record 2
LiAg2PtI after structural relaxation, computed with PBE.

## Properties
Total moment ... 0.000 μB/atom
Energy relative to the elements, uncorrected ... 0.180 eV/atom

Cell and atoms, written as extended XYZ:
```
5
Lattice="-1.1068 5.0448 -0.7254 -0.4101 -0.7640 -4.6873 -5.0769 -1.0259 0.6114" Properties=species:S:1:pos:R:3 pbc="T T T"
I -3.2969 1.6275 -2.4006
Ag -2.5384 -0.5129 0.3057
Ag -0.5534 2.5224 -0.3627
Pt 0.0000 0.0000 0.0000
Li -0.2051 -0.3820 -2.3436
```

Record 3
TiTlCr2Pd after structural relaxation, computed with PBE.

## Properties
Total moment ... 0.000 μB/atom
Formation energy ... 1.15 eV per atom

Cell and atoms, written as extended XYZ:
```
5
Lattice="-1.7765 -3.9345 0.4690 1.4928 -1.2003 -4.4154 3.7265 -1.4843 1.6634" Properties=species:S:1:pos:R:3 pbc="T T T"
Cr 1.8632 -0.7421 0.8317
Cr -0.8883 -1.9673 0.2345
Tl 1.7214 -3.3096 -1.1415
Pd 0.7464 -0.6002 -2.2077
Ti 0.0000 0.0000 0.0000
```

Record 4
Mn4ZnCu after structural relaxation, computed with PBE.

## Properties
Total moment ... 0.553 μB/atom
Formation energy ... 0.36 eV per atom

Cell and atoms, written as extended XYZ:
```
6
Lattice="0.0000 3.3114 3.3114 3.3114 0.0000 3.3114 3.3114 3.3114 0.0000" Properties=species:S:1:pos:R:3 pbc="T T T"
Mn 2.4829 4.1399 4.1399
Mn 4.1399 4.1399 2.4829
Mn 4.1399 2.4829 4.1399
Mn 2.4829 2.4829 2.4829
Zn 4.9671 4.9671 4.9671
Cu 0.0000 0.0000 0.0000
```

Record 5
Ce2Ga2FeGe4 after structural relaxation, computed with PBE.

## Properties
Total moment ... 0.091 μB/atom
Formation energy ... -0.48 eV per atom

Cell and atoms, written as extended XYZ:
```
9
Lattice="6.1714 -0.0298 -0.0430 -2.9885 5.3997 0.0430 -2.9885 -1.8569 5.0705" Properties=species:S:1:pos:R:3 pbc="T T T"
Ce 0.0972 3.5706 1.2784
Ce 0.0972 -0.0576 3.7922
Ga -4.2968 2.5469 3.6760
Ga -1.6802 0.9959 1.4375
Fe 0.0000 0.0000 0.0000
Ge -2.9885 3.4255 1.4107
Ge -1.5374 2.5654 3.7028
Ge -2.9885 0.1173 3.7028
Ge 1.7318 0.9476 1.3677
```

Record 6
LiHfCl3 after structural relaxation, computed with PBE.

## Properties
Total moment ... 0.389 μB/atom
Energy relative to the elements, uncorrected ... -0.615 eV/atom
E above lowest polymorph ... 420 meV/atom

Cell and atoms, written as extended XYZ:
```
5
Lattice="4.5950 0.0000 0.0000 0.0000 4.5950 0.0000 0.0000 0.0000 4.5950" Properties=species:S:1:pos:R:3 pbc="T T T"
Li 0.0000 0.0000 0.0000
Hf 2.2975 2.2975 2.2975
Cl 0.0000 2.2975 0.0000
Cl 0.0000 0.0000 2.2975
Cl 2.2975 0.0000 0.0000
```

Record 7
AlRuW2 after structural relaxation, computed with PBE.

## Properties
Total moment ... 0.000 μB/atom
Formation energy ... 0.04 eV per atom

Cell and atoms, written as extended XYZ:
```
4
Lattice="-2.0256 4.2224 -0.6913 -2.0736 2.8755 -3.1371 -4.6002 -1.3843 0.8526" Properties=species:S:1:pos:R:3 pbc="T T T"
Ru -2.1960 1.4169 -0.7372
Al -4.3571 2.8927 -1.5076
W -4.1059 7.0442 -3.7988
W -6.4892 4.3144 -2.2486
```

Record 8
PmYGaCu after structural relaxation, computed with PBE.

## Properties
Total moment ... 0.000 μB/atom
Formation energy ... -0.39 eV per atom

Cell and atoms, written as extended XYZ:
```
4
Lattice="5.0785 0.0000 0.0000 2.5393 4.3981 0.0000 2.5393 1.4660 4.1466" Properties=species:S:1:pos:R:3 pbc="T T T"
Y 0.0000 0.0000 0.0000
Cu 7.6178 4.3981 3.1100
Ga 2.5393 1.4660 1.0367
Pm 5.0785 2.9321 2.0733
```